Record 1
VASP calculation (meta-GGA SCAN) on a PBEsol-optimized structure of Rb2Hg3Se4.

Values from the calculation:
- SG = No. 72
- DFT total energy (eV/atom) = -36.928
- total magnetization (μB/f.u.) = 0.0
- ΔE_f (raw) (eV per atom) = -0.67

The structure in POSCAR format:
```
Rb2Hg3Se4
1.0
-3.251 5.841 7.127
3.251 -5.841 7.127
3.251 5.841 -7.127
Rb Hg Se
4 6 8
Direct
0.118 0.226 0.345
0.382 0.726 0.108
0.618 0.274 0.892
0.882 0.774 0.655
0.076 0.250 0.826
0.250 0.750 0.500
0.424 0.250 0.174
0.576 0.750 0.826
0.750 0.250 0.500
0.924 0.750 0.174
0.000 0.414 0.146
0.000 0.586 0.854
0.232 0.086 0.586
0.268 0.854 0.854
0.500 0.354 0.586
0.500 0.646 0.414
0.732 0.146 0.146
0.768 0.914 0.414
```

---

Record 2
VASP calculation (meta-GGA SCAN) on a PBEsol-optimized structure of RbHg2Se.

Values from the calculation:
- SG = No. 5
- DFT total energy (eV/atom) = -44.861
- total magnetization (μB/f.u.) = 0.0
- ΔE_f (raw) (eV per atom) = -0.57

The structure in POSCAR format:
```
RbHg2Se
1.0
6.261 -3.377 0.000
6.261 3.377 0.000
-1.487 0.000 6.293
Rb Hg Se
2 4 2
Direct
0.223 0.223 0.259
0.777 0.777 0.741
0.052 0.825 0.263
0.175 0.948 0.737
0.487 0.513 0.000
0.700 0.300 0.500
0.307 0.307 0.795
0.693 0.693 0.205
```

---

Record 3
VASP calculation (meta-GGA SCAN) on a PBEsol-optimized structure of RbHgSe2.

Values from the calculation:
- SG = No. 166
- DFT total energy (eV/atom) = -32.387
- total magnetization (μB/f.u.) = 0.0
- N(E_F) (states/eV/atom) = 0.776
- ΔE_f (raw) (eV per atom) = -0.12

The structure in POSCAR format:
```
RbHgSe2
1.0
2.030 1.172 9.297
-2.030 1.172 9.297
0.000 -2.344 9.297
Rb Hg Se
1 1 2
Direct
0.000 0.000 0.000
0.500 0.500 0.500
0.113 0.113 0.113
0.887 0.887 0.887
```

---

Record 4
VASP calculation (meta-GGA SCAN) on a PBEsol-optimized structure of RbHgSe2.

Values from the calculation:
- SG = No. 122
- DFT total energy (eV/atom) = -32.812
- total magnetization (μB/f.u.) = 0.0
- N(E_F) (states/eV/atom) = 0.497
- ΔE_f (raw) (eV per atom) = -0.55

The structure in POSCAR format:
```
RbHgSe2
1.0
-4.010 4.010 3.797
4.010 -4.010 3.797
4.010 4.010 -3.797
Rb Hg Se
2 2 4
Direct
0.000 0.000 0.000
0.750 0.250 0.500
0.250 0.750 0.500
0.500 0.500 0.000
0.206 0.625 0.081
0.375 0.456 0.581
0.544 0.125 0.919
0.875 0.794 0.419
```

---

Record 5
VASP calculation (meta-GGA SCAN) on a PBEsol-optimized structure of Rb2TlSiHg.

Values from the calculation:
- SG = No. 123
- DFT total energy (eV/atom) = -38.230
- total magnetization (μB/f.u.) = 0.0
- N(E_F) (states/eV/atom) = 0.335
- ΔE_f (raw) (eV per atom) = 0.17

The structure in POSCAR format:
```
Rb2TlSiHg
1.0
6.838 0.000 0.000
0.000 6.838 0.000
0.000 0.000 5.012
Rb Tl Si Hg
2 1 1 1
Direct
0.000 0.500 0.000
0.500 0.000 0.000
0.000 0.000 0.000
0.000 0.000 0.500
0.500 0.500 0.500
```

---

Record 6
VASP calculation (meta-GGA SCAN) on a PBEsol-optimized structure of Rb2SnHgTe4.

Values from the calculation:
- SG = No. 121
- DFT total energy (eV/atom) = -37.462
- total magnetization (μB/f.u.) = 0.0
- ΔE_f (raw) (eV per atom) = -0.64

The structure in POSCAR format:
```
Rb2SnHgTe4
1.0
-4.363 4.363 3.673
4.363 -4.363 3.673
4.363 4.363 -3.673
Rb Sn Hg Te
2 1 1 4
Direct
0.000 0.500 0.500
0.500 0.000 0.500
0.000 0.000 0.000
0.500 0.500 0.000
0.066 0.066 0.651
0.415 0.415 0.349
0.585 0.934 0.000
0.934 0.585 0.000
```

---

Record 7
VASP calculation (meta-GGA SCAN) on a PBEsol-optimized structure of Rb3TaHg.

Values from the calculation:
- formation energy from the elements (eV/atom) = 1.277
- SG = No. 221
- DFT total energy (eV/atom) = -38.117
- total magnetization (μB/f.u.) = 5.0
- N(E_F) (states/eV/atom) = 2.082

The structure in POSCAR format:
```
Rb3TaHg
1.0
6.471 0.000 0.000
0.000 6.471 0.000
0.000 0.000 6.471
Rb Ta Hg
3 1 1
Direct
0.000 0.000 0.500
0.000 0.500 0.000
0.500 0.000 0.000
0.500 0.500 0.500
0.000 0.000 0.000
```

---

Record 8
VASP calculation (meta-GGA SCAN) on a PBEsol-optimized structure of RbTaHgW2.

Values from the calculation:
- formation energy from the elements (eV/atom) = 3.958
- SG = No. 123
- DFT total energy (eV/atom) = -55.015
- total magnetization (μB/f.u.) = 0.0
- N(E_F) (states/eV/atom) = 1.152

The structure in POSCAR format:
```
RbTaHgW2
1.0
4.645 0.000 0.000
0.000 4.645 0.000
0.000 0.000 5.120
Rb Ta Hg W
1 1 1 2
Direct
0.000 0.000 0.000
0.500 0.500 0.500
0.000 0.000 0.500
0.000 0.500 0.000
0.500 0.000 0.000
```